# 1
{"formula": "SbTe2Au", "functional": "PBEsol", "state": "relaxed", "lattice": [[-1.9772, 2.3610, 5.7793], [1.9772, -2.3610, 5.7793], [1.9772, 2.3610, -5.7793]], "species": ["Sb", "Te", "Te", "Au"], "fractional_positions": [[0.0000, 0.0000, 0.0000], [0.3259, 0.8259, 0.5000], [0.6741, 0.1741, 0.5000], [0.5000, 0.5000, 0.0000]], "formation_energy_uncorrected_ev_per_atom": 0.067, "e_tot_ev_per_fu": -15.267, "volume_a3_per_cell": 107.9}

=====

# 2
{"formula": "Ba3AlN3", "functional": "PBEsol", "state": "relaxed", "lattice": [[8.0838, 0.0000, 0.0000], [-4.0419, 7.0008, 0.0000], [0.0000, 0.0000, 5.6259]], "species": ["Ba", "Ba", "Ba", "Ba", "Ba", "Ba", "Al", "Al", "N", "N", "N", "N", "N", "N"], "fractional_positions": [[0.0680, 0.3625, 0.2500], [0.2945, 0.9320, 0.2500], [0.3625, 0.2945, 0.7500], [0.6375, 0.7055, 0.2500], [0.7055, 0.0680, 0.7500], [0.9320, 0.6375, 0.7500], [0.3333, 0.6667, 0.7500], [0.6667, 0.3333, 0.2500], [0.1176, 0.4261, 0.7500], [0.3085, 0.8824, 0.7500], [0.4261, 0.3085, 0.2500], [0.5739, 0.6915, 0.7500], [0.6915, 0.1176, 0.2500], [0.8824, 0.5739, 0.2500]], "formation_energy_uncorrected_ev_per_atom": -0.751, "e_tot_ev_per_fu": -41.374, "volume_a3_per_cell": 318.4}

=====

# 3
{"formula": "BeTlZn", "functional": "PBEsol", "state": "relaxed", "lattice": [[0.0000, 3.0257, 3.0257], [3.0257, 0.0000, 3.0257], [3.0257, 3.0257, 0.0000]], "species": ["Be", "Tl", "Zn"], "fractional_positions": [[0.0000, 0.0000, 0.0000], [0.7500, 0.7500, 0.7500], [0.5000, 0.5000, 0.5000]], "e_tot_ev_per_fu": -6.464, "volume_a3_per_cell": 55.4, "delta_e_f_mev_per_atom": 583}

=====

# 4
{"formula": "ZrAgHg", "functional": "PBEsol", "state": "relaxed", "lattice": [[-1.5059, 2.1937, 4.3498], [1.5059, -2.1937, 4.3498], [1.5059, 2.1937, -4.3498]], "species": ["Zr", "Ag", "Hg"], "fractional_positions": [[0.0000, 0.0000, 0.0000], [0.3319, 0.3319, 0.0000], [0.6646, 0.6646, 0.0000]], "e_tot_ev_per_fu": -13.319, "volume_a3_per_cell": 57.5, "delta_e_f_mev_per_atom": -117}

=====

# 5
{"formula": "Mg7TiAl6Si8H8O38", "functional": "PBEsol", "state": "relaxed", "lattice": [[12.1742, 0.0000, 0.0000], [-6.0871, 10.5432, 0.0000], [0.0000, 0.0000, 5.0195]], "species": ["Mg", "Mg", "Mg", "Mg", "Mg", "Mg", "Mg", "Ti", "Al", "Al", "Al", "Al", "Al", "Al", "Si", "Si", "Si", "Si", "Si", "Si", "Si", "Si", "H", "H", "H", "H", "H", "H", "H", "H", "O", "O", "O", "O", "O", "O", "O", "O", "O", "O", "O", "O", "O", "O", "O", "O", "O", "O", "O", "O", "O", "O", "O", "O", "O", "O", "O", "O", "O", "O", "O", "O", "O", "O", "O", "O", "O", "O"], "fractional_positions": [[0.0000, 0.0000, 0.0000], [0.0894, 0.4259, 0.8098], [0.3365, 0.9106, 0.8098], [0.4260, 0.3367, 0.3083], [0.5741, 0.6635, 0.8098], [0.6633, 0.0893, 0.3083], [0.9107, 0.5740, 0.3083], [0.0000, 0.0000, 0.5014], [0.0671, 0.6479, 0.8042], [0.3521, 0.4193, 0.8042], [0.4197, 0.0676, 0.3019], [0.5807, 0.9329, 0.8042], [0.6479, 0.5803, 0.3019], [0.9324, 0.3521, 0.3019], [0.1456, 0.8416, 0.2899], [0.1584, 0.3039, 0.2899], [0.3039, 0.1452, 0.7832], [0.3333, 0.6667, 0.5873], [0.6667, 0.3333, 0.0829], [0.6961, 0.8544, 0.2899], [0.8414, 0.6961, 0.7832], [0.8548, 0.1586, 0.7832], [0.1265, 0.5711, 0.2265], [0.3333, 0.6667, 0.0739], [0.4289, 0.5554, 0.2265], [0.4446, 0.8735, 0.2265], [0.5560, 0.1275, 0.7254], [0.5715, 0.4440, 0.7254], [0.6667, 0.3333, 0.5697], [0.8725, 0.4285, 0.7254], [0.0478, 0.5254, 0.1216], [0.0618, 0.7191, 0.4821], [0.0701, 0.9224, 0.2618], [0.0748, 0.3574, 0.4400], [0.0776, 0.1478, 0.2618], [0.1487, 0.0704, 0.7326], [0.1728, 0.7923, 0.0027], [0.1918, 0.6117, 0.7048], [0.2077, 0.3806, 0.0027], [0.2809, 0.3427, 0.4821], [0.2826, 0.9252, 0.4400], [0.3333, 0.6667, 0.2669], [0.3400, 0.0609, 0.9808], [0.3555, 0.2807, 0.9390], [0.3838, 0.1745, 0.5004], [0.3883, 0.5801, 0.7048], [0.4199, 0.8082, 0.7048], [0.4746, 0.5224, 0.1216], [0.4776, 0.9522, 0.1216], [0.5230, 0.0485, 0.6217], [0.5255, 0.4770, 0.6217], [0.5802, 0.1916, 0.1994], [0.6114, 0.4198, 0.1994], [0.6194, 0.8272, 0.0027], [0.6426, 0.7174, 0.4400], [0.6573, 0.9382, 0.4821], [0.6667, 0.3333, 0.7626], [0.7193, 0.0748, 0.9390], [0.7209, 0.6600, 0.9808], [0.7907, 0.6162, 0.5004], [0.8084, 0.3886, 0.1994], [0.8255, 0.2093, 0.5004], [0.8522, 0.9299, 0.2618], [0.9217, 0.8513, 0.7326], [0.9252, 0.6445, 0.9390], [0.9296, 0.0783, 0.7326], [0.9391, 0.2791, 0.9808], [0.9515, 0.4745, 0.6217]], "e_tot_ev_per_fu": -491.929, "volume_a3_per_cell": 644.3}

=====

# 6
{"formula": "MgI2NCl", "functional": "PBEsol", "state": "relaxed", "lattice": [[5.7694, 0.0000, 0.0000], [0.0000, 5.7694, 0.0000], [0.0000, 0.0000, 3.9976]], "species": ["Mg", "I", "I", "N", "Cl"], "fractional_positions": [[0.0000, 0.0000, 0.0000], [0.0000, 0.5000, 0.0000], [0.5000, 0.0000, 0.0000], [0.0000, 0.0000, 0.5000], [0.5000, 0.5000, 0.5000]], "formation_energy_uncorrected_ev_per_atom": 0.490, "e_tot_ev_per_fu": -13.333, "volume_a3_per_cell": 133.1}

=====

# 7
{"formula": "YCu2", "functional": "PBEsol", "state": "relaxed", "lattice": [[3.4203, 0.0000, 0.0000], [0.0000, 3.4203, 0.0000], [0.0000, 0.0000, 4.7623]], "species": ["Y", "Cu", "Cu"], "fractional_positions": [[0.0000, 0.0000, 0.0000], [0.0000, 0.5000, 0.5000], [0.5000, 0.0000, 0.5000]], "e_tot_ev_per_fu": -15.025, "volume_a3_per_cell": 55.7, "delta_e_f_mev_per_atom": 155}

=====

# 8
{"formula": "Ba2AlNi", "functional": "PBEsol", "state": "relaxed", "lattice": [[5.9678, -1.9300, 0.0000], [5.9678, 1.9300, 0.0000], [-2.6813, 0.0000, 4.9827]], "species": ["Ba", "Ba", "Al", "Ni"], "fractional_positions": [[0.0000, 0.0000, 0.0000], [0.1819, 0.1819, 0.6818], [0.7987, 0.7987, 0.2987], [0.4212, 0.4212, 0.4220]], "e_tot_ev_per_fu": -14.608, "volume_a3_per_cell": 114.8, "delta_e_f_mev_per_atom": -15}

=====

# 9
{"formula": "CoSi2Ru", "functional": "PBEsol", "state": "relaxed", "lattice": [[2.6329, 0.0000, 0.0000], [0.0000, 2.6329, 0.0000], [0.0000, 0.0000, 7.0991]], "species": ["Co", "Si", "Si", "Ru"], "fractional_positions": [[0.0000, 0.0000, 0.0000], [0.0000, 0.0000, 0.4899], [0.5000, 0.5000, 0.7937], [0.5000, 0.5000, 0.2519]], "formation_energy_uncorrected_ev_per_atom": -0.070, "e_tot_ev_per_fu": -29.682, "volume_a3_per_cell": 49.2}

=====

# 10
{"formula": "Zn2TeAs", "functional": "PBEsol", "state": "relaxed", "lattice": [[3.8085, 0.0000, 0.0000], [0.0000, 3.8358, 0.0000], [0.0000, 0.0000, 5.5481]], "species": ["Zn", "Zn", "Te", "As"], "fractional_positions": [[0.0000, 0.0000, 0.0000], [0.0000, 0.5000, 0.5000], [0.5000, 0.0000, 0.5000], [0.5000, 0.5000, 0.0000]], "formation_energy_uncorrected_ev_per_atom": 0.233, "e_tot_ev_per_fu": -10.864, "volume_a3_per_cell": 81.0}

=====

# 11
{"formula": "SrTaRu2", "functional": "PBEsol", "state": "relaxed", "lattice": [[4.6924, 0.0000, 0.0000], [0.0000, 4.6924, 0.0000], [0.0000, 0.0000, 3.1821]], "species": ["Sr", "Ta", "Ru", "Ru"], "fractional_positions": [[0.0000, 0.0000, 0.0000], [0.5000, 0.5000, 0.0000], [0.0000, 0.5000, 0.5000], [0.5000, 0.0000, 0.5000]], "e_tot_ev_per_fu": -32.889, "volume_a3_per_cell": 70.1, "delta_e_f_mev_per_atom": 462}

=====

# 12
{"formula": "Ag2IrSe", "functional": "PBEsol", "state": "relaxed", "lattice": [[2.9491, 0.0000, 0.0000], [0.0000, 2.9491, 0.0000], [0.0000, 0.0000, 7.7921]], "species": ["Ag", "Ag", "Ir", "Se"], "fractional_positions": [[0.0000, 0.0000, 0.0000], [0.5000, 0.5000, 0.2485], [0.0000, 0.0000, 0.5087], [0.5000, 0.5000, 0.6912]], "formation_energy_uncorrected_ev_per_atom": 0.224, "e_tot_ev_per_fu": -19.400, "volume_a3_per_cell": 67.8}